# 1
ScCdCuSb | PBE-GGA | optimized geometry

a = 4.8927 Å, b = 4.8927 Å, c = 4.8927 Å
α = 60.00°, β = 60.00°, γ = 60.00°
Closest atoms and distances in Å follow each position.
Element x y z (fractional)
Cd 0.2500 0.2500 0.2500  4 Sc 3.00, 4 Sb 3.00
Cu 0.7500 0.7500 0.7500  4 Sc 3.00, 4 Sb 3.00
Sc 0.5000 0.5000 0.5000  4 Cd 3.00, 4 Cu 3.00
Sb 0.0000 0.0000 0.0000  4 Cd 3.00, 4 Cu 3.00

Summary:
The crystal system is cubic. As for the total moment: 0.0 μB/cell. The value obtained for the energy above the most stable polymorph in this dataset is 1.97 kcal/mol of atoms.


# 2
ScCdCuSb | PBE-GGA | optimized geometry

a = 4.8593 Å, b = 4.8593 Å, c = 4.8593 Å
α = 60.00°, β = 60.00°, γ = 60.00°
Closest atoms and distances in Å follow each position.
Element x y z (fractional)
Cd 0.5000 0.5000 0.5000  4 Cu 2.98, 4 Sc 2.98
Cu 0.7500 0.7500 0.7500  4 Cd 2.98, 4 Sb 2.98
Sb 0.0000 0.0000 0.0000  4 Sc 2.98, 4 Cu 2.98
Sc 0.2500 0.2500 0.2500  4 Cd 2.98, 4 Sb 2.98

Summary:
The crystal system is cubic. As for the total moment: 0.0 μB/cell. The value obtained for the energy above the most stable polymorph in this dataset is 0.00 kcal/mol of atoms.


# 3
CdCuSn2Sb4 | PBE-GGA | optimized geometry

a = 7.8690 Å, b = 7.8690 Å, c = 7.8690 Å
α = 131.89°, β = 131.89°, γ = 70.41°
Closest atoms and distances in Å follow each position.
Element x y z (fractional)
Sb 0.5974 0.0927 0.9570  1 Cu 2.56, 1 Cd 2.83
Sb 0.3596 0.4026 0.4953  1 Cu 2.56, 1 Cd 2.83
Sb 0.1357 0.6404 0.0430  1 Cu 2.56, 1 Cd 2.83
Sb 0.9073 0.8643 0.5047  1 Cu 2.56, 1 Cd 2.83
Sn 0.5000 0.5000 0.0000  4 Sb 2.87
Sn 0.7500 0.2500 0.5000  4 Sb 2.88
Cd 0.0000 0.0000 0.0000  4 Sb 2.83
Cu 0.2500 0.7500 0.5000  4 Sb 2.56

Summary:
The crystal system is tetragonal. As for the final energy: -29.0 eV for the cell shown.


# 4
TaCdCuSb | PBE-GGA | optimized geometry

a = 4.7496 Å, b = 4.7496 Å, c = 4.7496 Å
α = 60.00°, β = 60.00°, γ = 60.00°
Closest atoms and distances in Å follow each position.
Element x y z (fractional)
Cu 0.7500 0.7500 0.7500  4 Cd 2.91, 4 Sb 2.91
Cd 0.5000 0.5000 0.5000  4 Ta 2.91, 4 Cu 2.91
Sb 0.0000 0.0000 0.0000  4 Ta 2.91, 4 Cu 2.91
Ta 0.2500 0.2500 0.2500  4 Cd 2.91, 4 Sb 2.91

Summary:
The crystal system is cubic. As for the total moment: 0.1 μB/cell. The value obtained for the energy above the most stable polymorph in this dataset is 0.00 kcal/mol of atoms.


# 5
TaCdCuSb | PBE-GGA | optimized geometry

a = 4.8031 Å, b = 4.8031 Å, c = 4.8031 Å
α = 60.00°, β = 60.00°, γ = 60.00°
Closest atoms and distances in Å follow each position.
Element x y z (fractional)
Cu 0.7500 0.7500 0.7500  4 Sb 2.94, 4 Ta 2.94
Ta 0.5000 0.5000 0.5000  4 Cd 2.94, 4 Cu 2.94
Cd 0.2500 0.2500 0.2500  4 Ta 2.94, 4 Sb 2.94
Sb 0.0000 0.0000 0.0000  4 Cu 2.94, 4 Cd 2.94

Summary:
The crystal system is cubic. As for the total moment: 1.1 μB/cell. The value obtained for the energy above the most stable polymorph in this dataset is 6.37 kcal/mol of atoms.


# 6
CdCuTcSb | PBE-GGA | optimized geometry

a = 4.6034 Å, b = 4.6034 Å, c = 4.6034 Å
α = 60.00°, β = 60.00°, γ = 60.00°
Closest atoms and distances in Å follow each position.
Element x y z (fractional)
Cd 0.5000 0.5000 0.5000  4 Cu 2.82, 4 Tc 2.82
Tc 0.2500 0.2500 0.2500  4 Cd 2.82, 4 Sb 2.82
Cu 0.7500 0.7500 0.7500  4 Cd 2.82, 4 Sb 2.82
Sb 0.0000 0.0000 0.0000  4 Cu 2.82, 4 Tc 2.82

Summary:
The crystal system is cubic. As for the total moment: 0.0 μB/cell. The value obtained for the energy above the most stable polymorph in this dataset is 0.00 kcal/mol of atoms.


# 7
CdCuSbW | PBE-GGA | optimized geometry

a = 4.6683 Å, b = 4.6683 Å, c = 4.6683 Å
α = 60.00°, β = 60.00°, γ = 60.00°
Closest atoms and distances in Å follow each position.
Element x y z (fractional)
Cd 0.5000 0.5000 0.5000  4 Cu 2.86, 4 W 2.86
Sb 0.0000 0.0000 0.0000  4 W 2.86, 4 Cu 2.86
Cu 0.7500 0.7500 0.7500  4 Sb 2.86, 4 Cd 2.86
W 0.2500 0.2500 0.2500  4 Sb 2.86, 4 Cd 2.86

Summary:
The crystal system is cubic. As for the total moment: 0.0 μB/cell. The value obtained for the energy above the most stable polymorph in this dataset is 0.00 kcal/mol of atoms.


# 8
ZrCdCuSb | PBE-GGA | optimized geometry

a = 4.8697 Å, b = 4.8697 Å, c = 4.8697 Å
α = 60.00°, β = 60.00°, γ = 60.00°
Closest atoms and distances in Å follow each position.
Element x y z (fractional)
Zr 0.2500 0.2500 0.2500  4 Cd 2.98, 4 Sb 2.98
Cu 0.7500 0.7500 0.7500  4 Cd 2.98, 4 Sb 2.98
Sb 0.0000 0.0000 0.0000  4 Zr 2.98, 4 Cu 2.98
Cd 0.5000 0.5000 0.5000  4 Zr 2.98, 4 Cu 2.98

Summary:
The crystal system is cubic. As for the total moment: 0.4 μB/cell. The value obtained for the energy above the most stable polymorph in this dataset is 0.00 kcal/mol of atoms.


# 9
ZrCdCuSb | PBE-GGA | optimized geometry

a = 4.9080 Å, b = 4.9080 Å, c = 4.9080 Å
α = 60.00°, β = 60.00°, γ = 60.00°
Closest atoms and distances in Å follow each position.
Element x y z (fractional)
Zr 0.5000 0.5000 0.5000  4 Cu 3.01, 4 Cd 3.01
Sb 0.0000 0.0000 0.0000  4 Cu 3.01, 4 Cd 3.01
Cu 0.7500 0.7500 0.7500  4 Zr 3.01, 4 Sb 3.01
Cd 0.2500 0.2500 0.2500  4 Zr 3.01, 4 Sb 3.01

Summary:
The crystal system is cubic. As for the total moment: 0.0 μB/cell. The value obtained for the energy above the most stable polymorph in this dataset is 3.37 kcal/mol of atoms.


# 10
ScCdCuSn | PBE-GGA | optimized geometry

a = 4.8031 Å, b = 4.8031 Å, c = 4.8031 Å
α = 60.00°, β = 60.00°, γ = 60.00°
Closest atoms and distances in Å follow each position.
Element x y z (fractional)
Cu 0.7500 0.7500 0.7500  4 Cd 2.94, 4 Sn 2.94
Sc 0.2500 0.2500 0.2500  4 Sn 2.94, 4 Cd 2.94
Cd 0.5000 0.5000 0.5000  4 Sc 2.94, 4 Cu 2.94
Sn 0.0000 0.0000 0.0000  4 Sc 2.94, 4 Cu 2.94

Summary:
The crystal system is cubic. As for the total moment: 0.0 μB/cell. The value obtained for the energy above the most stable polymorph in this dataset is 0.00 kcal/mol of atoms.


# 11
ScCdCuSn | PBE-GGA | optimized geometry

a = 4.8148 Å, b = 4.8148 Å, c = 4.8148 Å
α = 60.00°, β = 60.00°, γ = 60.00°
Closest atoms and distances in Å follow each position.
Element x y z (fractional)
Cu 0.7500 0.7500 0.7500  4 Sn 2.95, 4 Sc 2.95
Sc 0.5000 0.5000 0.5000  4 Cd 2.95, 4 Cu 2.95
Sn 0.0000 0.0000 0.0000  4 Cu 2.95, 4 Cd 2.95
Cd 0.2500 0.2500 0.2500  4 Sc 2.95, 4 Sn 2.95

Summary:
The crystal system is cubic. As for the total moment: 0.0 μB/cell. The value obtained for the energy above the most stable polymorph in this dataset is 1.07 kcal/mol of atoms.


# 12
ScCdCuTe3 | PBE-GGA | optimized geometry

a = 7.3642 Å, b = 7.3642 Å, c = 10.7851 Å
α = 90.00°, β = 90.00°, γ = 148.48°
Closest atoms and distances in Å follow each position.
Element x y z (fractional)
Te 0.0945 0.9055 0.7500  2 Cu 2.65
Te 0.6422 0.3578 0.0615  1 Cu 2.60
Te 0.3578 0.6422 0.5615  1 Cu 2.60
Te 0.6422 0.3578 0.4385  1 Cu 2.60
Te 0.9055 0.0945 0.2500  2 Cu 2.65
Te 0.3578 0.6422 0.9385  1 Cu 2.60
Cu 0.5277 0.4723 0.2500  4 Te 2.60-2.65
Cu 0.4723 0.5277 0.7500  4 Te 2.60-2.65
Sc 0.0000 0.0000 0.5000  6 Te 2.92-3.01
Sc 0.0000 0.0000 0.0000  6 Te 2.92-3.01
Cd 0.2335 0.7665 0.2500  6 Te 3.13-3.15
Cd 0.7665 0.2335 0.7500  6 Te 3.13-3.15

Summary:
The crystal system is orthorhombic. As for the total moment: 0.0 μB/cell. The value obtained for the energy above the most stable polymorph in this dataset is 0.27 kcal/mol of atoms.


# 13
ScCdCuTe3 | PBE-GGA | optimized geometry

a = 8.0834 Å, b = 4.0736 Å, c = 9.7471 Å
α = 90.00°, β = 103.07°, γ = 90.00°
Closest atoms and distances in Å follow each position.
Element x y z (fractional)
Sc 0.1862 0.2500 0.6754  6 Te 2.88-3.00
Sc 0.8138 0.7500 0.3246  6 Te 2.88-3.00
Cd 0.2830 0.7500 0.2189  6 Te 3.07-3.13, 1 Cu 3.37
Cd 0.7170 0.2500 0.7811  6 Te 3.07-3.13, 1 Cu 3.37
Cu 0.5759 0.2500 0.0809  4 Te 2.65-2.73, 2 Cu 2.70
Cu 0.4241 0.7500 0.9191  4 Te 2.65-2.73, 2 Cu 2.70
Te 0.7670 0.7500 0.0226  3 Cu 2.69-2.73, 1 Sc 2.88
Te 0.4306 0.7500 0.6489  1 Cu 2.65, 2 Sc 2.89
Te 0.0876 0.2500 0.3594  3 Sc 2.97-3.00, 2 Cd 3.08
Te 0.9124 0.7500 0.6406  3 Sc 2.97-3.00, 2 Cd 3.08
Te 0.5694 0.2500 0.3511  1 Cu 2.65, 2 Sc 2.89
Te 0.2330 0.2500 0.9774  3 Cu 2.69-2.73, 1 Sc 2.88

Summary:
The crystal system is monoclinic. As for the total moment: 0.0 μB/cell. The value obtained for the energy above the most stable polymorph in this dataset is 0.00 kcal/mol of atoms.